Below is a relaxed VAu3I crystal, with properties calculated at the PBE level.

Results
The crystal system is cubic. The value obtained for the total magnetization is 3.78 μB/f.u. The density of states at the Fermi level comes out at 7.72 states/eV/f.u. For the energy above the most stable polymorph in this dataset, the calculation gives 469 meV per atom. For the raw formation energy, the calculation gives 1.322 eV/atom.

Structure (CIF):
```
data_VAu3I
_cell_length_a 5.348
_cell_length_b 5.348
_cell_length_c 5.348
_cell_angle_alpha 90.00
_cell_angle_beta 90.00
_cell_angle_gamma 90.00
_space_group_name_H-M_alt 'P m -3 m'
_space_group_IT_number 221
_space_group_name_Hall '-P 4 2 3'
loop_
_atom_site_label
_atom_site_type_symbol
_atom_site_fract_x
_atom_site_fract_y
_atom_site_fract_z
_atom_site_occupancy
V1 V 0.000 0.000 0.000 1
Au1 Au 0.000 0.500 0.500 1
I1 I 0.500 0.500 0.500 1
```